First-principles (PBE) data for a relaxed LaNdErAg crystal, as listed in the Alexandria database.

Calculated values
ΔH_f (0 K) ... 0.046 eV/atom
M_tot ... 0.00 μB/atom
Space group ... No. 216
Total energy ... -16.9 eV per cell
DOS at the Fermi energy ... 3.080 states/eV/cell

Cell lengths 5.521, 5.521, 5.521 Å; angles 60.00, 60.00, 60.00 degrees
Positions (direct):
La1 0.000 0.000 0.000
Nd1 0.500 0.500 0.500
Er1 0.750 0.750 0.750
Ag1 0.250 0.250 0.250